24
Lattice="-5.867 5.867 5.262 5.867 -5.867 5.262 5.867 5.867 -5.262" Properties=species:S:1:pos:R:3 comment="TlHgAsS3 PBE-GGA optimized geometry" n_ef_per_ev_atom=0.039 raw_formation_energy_mev_per_atom=-129 pbc="T T T"
Tl 0.000 0.000 1.647
Tl 5.867 0.000 2.631
Tl 0.000 5.867 2.631
Tl 0.000 0.000 8.877
Hg 5.867 2.701 0.000
Hg 2.701 5.867 0.000
Hg 3.166 0.000 5.262
Hg 0.000 3.166 5.262
As 2.902 -2.902 2.847
As 2.965 2.965 2.415
As -2.902 2.902 2.847
As 2.902 2.902 7.678
S 7.897 1.471 -0.946
S 4.352 4.352 -1.668
S 3.838 1.471 0.946
S 4.397 -2.029 4.316
S 1.471 3.838 0.946
S 1.516 1.516 3.594
S 1.516 -1.516 6.930
S 1.471 7.897 -0.946
S 4.397 2.029 6.209
S -2.029 4.397 4.316
S -1.516 1.516 6.930
S 2.029 4.397 6.209